Density functional theory data (PBE-GGA) for a relaxed Ca2TlAu2 crystal. Values from VASP.

Quantum ESPRESSO input file:
```
&SYSTEM
  ibrav = 0, nat = 5, ntyp = 3
/
ATOMIC_SPECIES
Au 196.97 Au.upf
Tl 204.38 Tl.upf
Ca 40.08 Ca.upf
ATOMIC_POSITIONS crystal
Au 0.6541 0.6541 0.6919
Au 0.3459 0.3459 0.3081
Tl 0.0000 0.0000 0.0000
Ca 0.7500 0.2500 0.5000
Ca 0.2500 0.7500 0.5000
CELL_PARAMETERS angstrom
5.7407 0.0000 0.0000
0.0000 5.7407 0.0000
2.8703 2.8703 4.2962
```

Energy relative to the elements   -0.4815 eV/atom
Fermi-level density of states   3.38 states/eV/cell
Calculated total energy   -3.0663 eV/atom
Space group   I4/mmm

=====

Density functional theory data (PBE-GGA) for a relaxed Pr4Er3Th crystal. Values from VASP.

Quantum ESPRESSO input file:
```
&SYSTEM
  ibrav = 0, nat = 8, ntyp = 3
/
ATOMIC_SPECIES
Pr 140.91 Pr.upf
Er 167.26 Er.upf
Th 232.04 Th.upf
ATOMIC_POSITIONS crystal
Pr 0.7414 0.2324 0.4827
Pr 0.2586 0.7676 0.5173
Pr 0.8792 0.6367 0.7583
Pr 0.1208 0.3633 0.2417
Er 0.0000 0.5000 0.0000
Er 0.1212 0.8825 0.2423
Er 0.8788 0.1175 0.7577
Th 0.5000 0.0000 0.0000
CELL_PARAMETERS angstrom
-3.1433 -0.6207 -1.3349
-1.9673 -2.8210 5.9439
-1.0377 11.9005 1.4226
```

Energy relative to the elements   0.1726 eV/atom
Fermi-level density of states   13.55 states/eV/cell
Calculated total energy   -4.8557 eV/atom
Space group   C2/m

=====

Density functional theory data (PBE-GGA) for a relaxed CsLi2TiI6 crystal. Values from VASP.

Quantum ESPRESSO input file:
```
&SYSTEM
  ibrav = 0, nat = 20, ntyp = 4
/
ATOMIC_SPECIES
Li 6.94 Li.upf
I 126.90 I.upf
Cs 132.91 Cs.upf
Ti 47.87 Ti.upf
ATOMIC_POSITIONS crystal
Li 0.6451 0.3728 0.4831
Li 0.3549 0.6272 0.5169
Li 0.8549 0.5169 0.6272
Li 0.1451 0.4831 0.3728
I 0.0044 0.3938 0.8362
I 0.4956 0.1638 0.6062
I 0.8164 0.0397 0.1918
I 0.9956 0.6062 0.1638
I 0.0314 0.6956 0.5435
I 0.1836 0.9603 0.8082
I 0.6836 0.8082 0.9603
I 0.5314 0.5435 0.6956
I 0.3164 0.1918 0.0397
I 0.5044 0.8362 0.3938
I 0.9686 0.3044 0.4565
I 0.4686 0.4565 0.3044
Cs 0.2500 0.8357 0.1643
Cs 0.7500 0.1643 0.8357
Ti 0.2500 0.1824 0.8176
Ti 0.7500 0.8176 0.1824
CELL_PARAMETERS angstrom
9.1999 0.0631 0.0655
3.0808 10.2783 0.1461
3.0808 -0.2350 10.2766
```

Formation energy (no corrections)   -1.034 eV per atom
Fermi-level density of states   12.92 states/eV/cell
Calculated total energy   -3.2221 eV/atom
Space group   C2/c

=====

Density functional theory data (PBE-GGA) for a relaxed KPm2Be2O6 crystal. Values from VASP.

Quantum ESPRESSO input file:
```
&SYSTEM
  ibrav = 0, nat = 11, ntyp = 4
/
ATOMIC_SPECIES
O 16.00 O.upf
Pm 145.00 Pm.upf
Be 9.01 Be.upf
K 39.10 K.upf
ATOMIC_POSITIONS crystal
O 0.9814 0.4236 0.1722
O 0.0186 0.5764 0.8278
O 0.4045 0.5772 0.8279
O 0.0703 0.8566 0.6241
O 0.9297 0.1434 0.3759
O 0.5955 0.4228 0.1721
Pm 0.8250 0.3500 0.8076
Pm 0.1750 0.6500 0.1924
Be 0.1579 0.6827 0.7493
Be 0.8421 0.3173 0.2507
K 0.5000 0.0000 0.5000
CELL_PARAMETERS angstrom
6.3863 0.0124 -0.0005
3.1980 5.3816 -0.1861
-0.0081 -3.1749 5.6140
```

Formation energy (no corrections)   -2.541 eV per atom
Fermi-level density of states   5.51 states/eV/cell
Calculated total energy   -6.8860 eV/atom
Space group   P-1